Record 1
This record from the Alexandria database describes crystalline Ba2CdSiNi at its relaxed geometry. The functional is GGA-PBEsol.

Computed properties:
Density   4.402 Mg/m³
Total moment   0.00 μB per formula unit
Energy relative to the elements, uncorrected   543 meV/atom

Cell: 6.221 6.221 4.619 Å, 90.00 90.00 90.00°
Space group P4/mmm (No. 123)
One atom of each set of equivalent atoms:
Ba 0.000 0.500 0.000 [2 per cell]
Cd 0.000 0.000 0.000 [1 per cell]
Si 0.500 0.500 0.500 [1 per cell]
Ni 0.000 0.000 0.500 [1 per cell]

=====

Record 2
This record from the Alexandria database describes crystalline BaCdP2O7 at its relaxed geometry. The functional is GGA-PBEsol.

Computed properties:
Density   4.717 Mg/m³
Total moment   0.00 μB per formula unit
Energy relative to the elements, uncorrected   -2368 meV/atom

Cell: 5.656 7.046 7.650 Å, 78.59 89.58 86.56°
Space group P-1 (No. 2)
One atom of each set of equivalent atoms:
Ba 0.236 0.236 0.438 [2 per cell]
Cd 0.212 0.349 0.901 [2 per cell]
P 0.281 0.732 0.299 [2 per cell]
P 0.281 0.835 0.904 [2 per cell]
O 0.064 0.608 0.315 [2 per cell]
O 0.089 0.688 0.891 [2 per cell]
O 0.230 0.033 0.789 [2 per cell]
O 0.268 0.875 0.106 [2 per cell]
O 0.274 0.860 0.438 [2 per cell]
O 0.473 0.259 0.121 [2 per cell]
O 0.490 0.399 0.690 [2 per cell]

=====

Record 3
This record from the Alexandria database describes crystalline BaCdP4O12 at its relaxed geometry. The functional is GGA-PBEsol.

Computed properties:
Density   3.724 Mg/m³
Total moment   0.03 μB per formula unit
Energy relative to the elements, uncorrected   -2266 meV/atom

Cell: 7.250 9.277 16.593 Å, 90.00 115.30 90.00°
Space group P2_1/c (No. 14)
One atom of each set of equivalent atoms:
Ba 0.148 0.109 0.132 [4 per cell]
Cd 0.347 0.730 0.842 [4 per cell]
P 0.082 0.101 0.322 [4 per cell]
P 0.278 0.749 0.540 [4 per cell]
P 0.311 0.165 0.942 [4 per cell]
P 0.311 0.520 0.174 [4 per cell]
O 0.022 0.707 0.252 [4 per cell]
O 0.076 0.507 0.157 [4 per cell]
O 0.140 0.652 0.561 [4 per cell]
O 0.184 0.045 0.887 [4 per cell]
O 0.198 0.181 0.416 [4 per cell]
O 0.213 0.721 0.942 [4 per cell]
O 0.228 0.002 0.306 [4 per cell]
O 0.298 0.595 0.085 [4 per cell]
O 0.376 0.133 0.671 [4 per cell]
O 0.391 0.157 0.042 [4 per cell]
O 0.429 0.609 0.255 [4 per cell]
O 0.495 0.188 0.913 [4 per cell]

=====

Record 4
This record from the Alexandria database describes crystalline Ba2CdReO6 at its relaxed geometry. The functional is GGA-PBEsol.

Computed properties:
Density   7.682 Mg/m³
Total moment   1.02 μB per formula unit
Energy relative to the elements, uncorrected   -2079 meV/atom

Cell: 8.333 8.333 8.333 Å, 90.00 90.00 90.00°
Space group Fm-3m (No. 225)
One atom of each set of equivalent atoms:
Ba 0.250 0.250 0.250 [8 per cell]
Cd 0.000 0.000 0.000 [4 per cell]
Re 0.000 0.000 0.500 [4 per cell]
O 0.000 0.000 0.269 [24 per cell]

=====

Record 5
This record from the Alexandria database describes crystalline Ba2UCdO6 at its relaxed geometry. The functional is GGA-PBEsol.

Computed properties:
Density   7.469 Mg/m³
Total moment   0.00 μB per formula unit
Energy relative to the elements, uncorrected   -2701 meV/atom

Cell: 8.623 8.623 8.623 Å, 90.00 90.00 90.00°
Space group Fm-3m (No. 225)
One atom of each set of equivalent atoms:
Ba 0.250 0.250 0.250 [8 per cell]
U 0.000 0.000 0.000 [4 per cell]
Cd 0.000 0.000 0.500 [4 per cell]
O 0.000 0.000 0.239 [24 per cell]

=====

Record 6
This record from the Alexandria database describes crystalline Ba2ZrCdO at its relaxed geometry. The functional is GGA-PBEsol.

Computed properties:
Density   3.873 Mg/m³
Total moment   1.30 μB per formula unit
Energy relative to the elements, uncorrected   749 meV/atom

Cell: 6.363 6.363 5.234 Å, 90.00 90.00 90.00°
Space group P4/mmm (No. 123)
One atom of each set of equivalent atoms:
Ba 0.000 0.500 0.000 [2 per cell]
Zr 0.000 0.000 0.500 [1 per cell]
Cd 0.000 0.000 0.000 [1 per cell]
O 0.500 0.500 0.500 [1 per cell]

=====

Record 7
This record from the Alexandria database describes crystalline BaCd3Os at its relaxed geometry. The functional is GGA-PBEsol.

Computed properties:
Density   7.895 Mg/m³
Total moment   0.00 μB per formula unit
Formation energy from the elements   0.226 eV per atom

Cell: 5.190 5.190 5.190 Å, 90.00 90.00 90.00°
Space group Pm-3m (No. 221)
One atom of each set of equivalent atoms:
Ba 0.000 0.000 0.000 [1 per cell]
Cd 0.000 0.500 0.500 [3 per cell]
Os 0.500 0.500 0.500 [1 per cell]

=====

Record 8
This record from the Alexandria database describes crystalline BaCd2Os at its relaxed geometry. The functional is GGA-PBEsol.

Computed properties:
Density   9.969 Mg/m³
Total moment   0.54 μB per formula unit
Formation energy from the elements   0.781 eV per atom

Cell: 4.384 4.384 4.787 Å, 90.00 90.00 90.00°
Space group P4/mmm (No. 123)
One atom of each set of equivalent atoms:
Ba 0.000 0.000 0.000 [1 per cell]
Cd 0.000 0.500 0.500 [2 per cell]
Os 0.500 0.500 0.000 [1 per cell]

=====

Record 9
This record from the Alexandria database describes crystalline BaCdOs2 at its relaxed geometry. The functional is GGA-PBEsol.

Computed properties:
Density   11.892 Mg/m³
Total moment   0.00 μB per formula unit
Formation energy from the elements   0.940 eV per atom

Cell: 9.676 2.960 6.190 Å, 90.00 96.91 90.00°
Space group C2/m (No. 12)
One atom of each set of equivalent atoms:
Ba 0.000 0.000 0.000 [2 per cell]
Cd 0.000 0.500 0.500 [2 per cell]
Os 0.233 0.000 0.658 [4 per cell]

=====

Record 10
This record from the Alexandria database describes crystalline BaCd2Os at its relaxed geometry. The functional is GGA-PBEsol.

Computed properties:
Density   9.507 Mg/m³
Total moment   0.49 μB per formula unit
Formation energy from the elements   0.525 eV per atom

Cell: 3.242 5.379 11.064 Å, 90.00 90.00 90.00°
Space group Immm (No. 71)
One atom of each set of equivalent atoms:
Ba 0.000 0.000 0.000 [2 per cell]
Cd 0.000 0.500 0.202 [4 per cell]
Os 0.000 0.000 0.500 [2 per cell]

=====

Record 11
This record from the Alexandria database describes crystalline BaCd2Os at its relaxed geometry. The functional is GGA-PBEsol.

Computed properties:
Density   8.930 Mg/m³
Total moment   0.00 μB per formula unit
Formation energy from the elements   0.457 eV per atom

Cell: 3.142 4.526 14.447 Å, 90.00 90.00 90.00°
Space group Imm2 (No. 44)
One atom of each set of equivalent atoms:
Ba 0.000 0.000 0.000 [2 per cell]
Cd 0.000 0.000 0.656 [2 per cell]
Cd 0.000 0.500 0.806 [2 per cell]
Os 0.000 0.500 0.313 [2 per cell]

=====

Record 12
This record from the Alexandria database describes crystalline BaCdOs2 at its relaxed geometry. The functional is GGA-PBEsol.

Computed properties:
Density   13.661 Mg/m³
Total moment   0.00 μB per formula unit
Formation energy from the elements   1.261 eV per atom

Cell: 2.9362 2.9362 30.7778 Å, 90.00 90.00 120.00°
Space group R-3m (No. 166, hexagonal axes)
One atom of each set of equivalent atoms:
Ba 0.0000 0.0000 0.0000 [3 per cell]
Cd 0.0000 0.0000 0.5000 [3 per cell]
Os 0.0000 0.0000 0.2401 [6 per cell]